(1)
AcEr2Rh (PBE-GGA, relaxed); density = 9.5 Mg/m³; calculated formation energy = -484 meV/atom; space-group type = Pnma (62)
1.0
6.529 0.000 0.000
0.000 7.361 0.000
0.000 0.000 9.684
Ac Er Rh
4 8 4
direct
0.641 0.539 0.250
0.859 0.039 0.250
0.359 0.461 0.750
0.141 0.961 0.750
0.166 0.674 0.069
0.334 0.174 0.431
0.834 0.326 0.569
0.666 0.826 0.931
0.834 0.326 0.931
0.666 0.826 0.569
0.166 0.674 0.431
0.334 0.174 0.069
0.087 0.382 0.250
0.413 0.882 0.250
0.913 0.618 0.750
0.587 0.118 0.750

(2)
AcErRh (PBE-GGA, relaxed); density = 8.6 Mg/m³; calculated formation energy = -550 meV/atom; space-group type = P2_1/c (14)
1.0
7.157 0.000 0.000
0.000 6.422 -1.984
0.000 1.698 7.805
Ac Er Rh
4 4 4
direct
0.415 0.237 0.886
0.585 0.763 0.114
0.915 0.263 0.614
0.085 0.737 0.386
0.919 0.238 0.116
0.581 0.738 0.616
0.081 0.762 0.884
0.419 0.262 0.384
0.264 0.508 0.645
0.736 0.492 0.355
0.236 0.008 0.145
0.764 0.992 0.855